(1)
Below is crystalline Nb3ReP at its relaxed geometry, with properties calculated at the GGA-PBE level.

abc: 4.853 4.853 4.853
angles: 90.00 90.00 90.00
Space group Pm-3m (No. 221)
Symmetry-distinct sites (fractional):
Nb  0.000  0.000  0.500 (multiplicity 3)
Re  0.000  0.000  0.000 (multiplicity 1)
P  0.500  0.500  0.500 (multiplicity 1)

Properties
energy relative to the elements	1.284	eV/atom

***

(2)
Below is crystalline SiHg2As at its relaxed geometry, with properties calculated at the GGA-PBE level.

abc: 6.447 3.715 8.153
angles: 90.00 101.62 90.00
Space group Cm (No. 8)
Symmetry-distinct sites (fractional):
Si  0.000  0.000  0.000 (multiplicity 2)
Hg  0.019  0.500  0.545 (multiplicity 2)
Hg  0.261  0.500  0.253 (multiplicity 2)
As  0.297  0.000  0.853 (multiplicity 2)

Properties
formation energy from raw total energies	0.402	eV/f.u.

***

Number 1: relative energy among the computed polymorphs 73.77 kJ per mole of atoms, DOS at the Fermi energy 5.104 states/eV/f.u.. Number 2: relative energy among the computed polymorphs 0.00 kJ per mole of atoms, DOS at the Fermi energy 0.521 states/eV/f.u..